Material: Ba2MnNiClF7
Method: DFT, GGA+U
State: optimized geometry

Values from the calculation:
Size of the total moment: 0.58 μB per atom
D(E_F): 0.000 states/eV/atom
Raw total energy: -64.847 eV/f.u.
Density: 4.58 g/cm3

Cell and atoms, written as CIF:
```
data_Ba2MnNiClF7
_symmetry_space_group_name_H-M 'P 1 21/m 1'
_symmetry_Int_Tables_number 11
_symmetry_space_group_name_Hall '-P 2yb'
_cell_length_a 7.848
_cell_length_b 5.914
_cell_length_c 9.059
_cell_angle_alpha 90.00
_cell_angle_beta 106.33
_cell_angle_gamma 90.00
loop_
_atom_site_label
_atom_site_fract_x
_atom_site_fract_y
_atom_site_fract_z
Ba1 0.163 0.250 0.409
Ba2 0.194 0.250 0.927
Mn1 0.334 0.750 0.734
Ni1 0.311 0.750 0.169
Cl1 0.385 0.750 0.457
F1 0.128 0.509 0.160
F2 0.138 0.002 0.653
F3 0.238 0.750 0.935
F4 0.485 0.503 0.164
```